First-principles (PBE-GGA) data for crystalline Co2P at its relaxed geometry, as listed in Alexandria via LeMat-Bulk.

a b c (Å): 2.708 3.479 6.940
angles (deg): 90.00 90.00 90.00
Space group Immm (No. 71)
Inequivalent atoms, fractional coordinates:
1 Co 0.000 0.000 0.171
2 P 0.000 0.000 0.500



First-principles (PBE-GGA) data for crystalline BaCuAsO4 at its relaxed geometry, as listed in Alexandria via LeMat-Bulk.

a b c (Å): 8.411 8.411 8.411
angles (deg): 90.00 90.00 90.00
Space group F-43m (No. 216)
Inequivalent atoms, fractional coordinates:
1 Ba 0.000 0.000 0.000
2 Cu 0.250 0.250 0.250
3 As 0.000 0.000 0.500
4 O 0.118 0.118 0.382

Computed properties:
Uncorrected formation energy, meV per atom: -1353



First-principles (PBE-GGA) data for crystalline HfScAg at its relaxed geometry, as listed in Alexandria via LeMat-Bulk.

a b c (Å): 3.223 15.756 4.944
angles (deg): 90.00 90.00 90.00
Space group Cmcm (No. 63)
Inequivalent atoms, fractional coordinates:
1 Hf 0.000 0.225 0.250
2 Sc 0.000 0.099 0.750
3 Ag 0.000 0.438 0.750

Computed properties:
Offset from the most stable computed form, meV per atom: 0



no.,DFT total energy (eV/atom)
1,-6.652
2,-5.710
3,-6.520